First-principles (GGA+U) data for a relaxed TlGaFeO4 crystal, as listed in Alexandria.

Cell lengths 6.244, 6.405, 8.841 Å; angles 90.00, 90.00, 90.00 degrees
Space group Imma (No. 74)
Asymmetric unit:
Tl  0.000  0.000  0.000 (multiplicity 4)
Ga  0.000  0.250  0.371 (multiplicity 4)
Fe  0.250  0.250  0.750 (multiplicity 4)
O  0.000  0.003  0.742 (multiplicity 8)
O  0.239  0.250  0.507 (multiplicity 8)

Properties
N(E_F) (states/eV/f.u.): 0.90
DFT total energy (eV per atom): -5.661